The following is a PBE-GGA calculation of crystalline Pr6Nd2SmTm at its relaxed geometry, from Alexandria.

The structure in POSCAR format:
```
Pr6Nd2SmTm
1.0
9.450 -2.049 -2.126
0.734 8.779 -2.061
0.734 -2.385 8.697
Pr Tm Sm Nd
12 2 2 4
direct
0.309 0.990 0.430
0.809 0.430 0.990
0.946 0.880 0.247
0.118 0.706 0.495
0.691 0.010 0.570
0.382 0.505 0.294
0.054 0.120 0.753
0.554 0.753 0.120
0.191 0.570 0.010
0.618 0.495 0.706
0.446 0.247 0.880
0.882 0.294 0.505
0.750 0.590 0.410
0.250 0.410 0.590
0.250 0.980 0.020
0.750 0.020 0.980
0.456 0.802 0.704
0.956 0.704 0.802
0.044 0.296 0.198
0.544 0.198 0.296
```

Calculated values
Calculated total energy = -4.629 eV per atom
Symmetry = C2/c (15)
Density = 6.81 g cm⁻³